(1)
First-principles (PBE) data for crystalline CsBi2F11 at its relaxed geometry, as listed in Alexandria.

Mass density, g/cm3: 4.12
M_tot, μB per formula unit: 0.1
VASP energy, eV/atom: -4.0796
Energy relative to the elements, uncorrected, meV per atom: -1994

Cell and atoms, written as CIF:
```
data_CsBi2F11
_space_group_name_H-M_alt 'I b a m'
_space_group_IT_number 72
_space_group_name_Hall '-I 2 2c'
_cell_length_a 8.206
_cell_length_b 10.740
_cell_length_c 13.914
_cell_angle_alpha 90.00
_cell_angle_beta 90.00
_cell_angle_gamma 90.00
loop_
_atom_site_label
_atom_site_type_symbol
_atom_site_fract_x
_atom_site_fract_y
_atom_site_fract_z
Cs1 Cs 0.000 0.000 0.250
Bi1 Bi 0.129 0.316 0.000
F1 F 0.000 0.500 0.000
F2 F 0.090 0.192 0.108
F3 F 0.138 0.294 0.500
F4 F 0.242 0.416 0.105
```

---

(2)
First-principles (PBE) data for crystalline CsBiF5 at its relaxed geometry, as listed in Alexandria.

Mass density, g/cm3: 3.84
M_tot, μB per formula unit: 0.0
VASP energy, eV/atom: -4.3599
Energy relative to the elements, uncorrected, meV per atom: -2347

Cell and atoms, written as CIF:
```
data_CsBiF5
_space_group_name_H-M_alt 'C 1 2/c 1'
_space_group_IT_number 15
_cell_length_a 10.993
_cell_length_b 8.369
_cell_length_c 8.957
_cell_angle_alpha 90.00
_cell_angle_beta 113.62
_cell_angle_gamma 90.00
loop_
_space_group_symop_operation_xyz
'x,y,z'
'-x,-y,-z'
'-x,y,-z+1/2'
'x,-y,z+1/2'
'x+1/2,y+1/2,z'
'-x+1/2,-y+1/2,-z'
'-x+1/2,y+1/2,-z+1/2'
'x+1/2,-y+1/2,z+1/2'
loop_
_atom_site_label
_atom_site_type_symbol
_atom_site_fract_x
_atom_site_fract_y
_atom_site_fract_z
Cs1 Cs 0.000 0.003 0.250
Bi1 Bi 0.000 0.500 0.000
F1 F 0.000 0.496 0.250
F2 F 0.008 0.244 0.001
F3 F 0.211 0.490 0.604
```

---

(3)
First-principles (PBE) data for crystalline Cs3BiF at its relaxed geometry, as listed in Alexandria.

Mass density, g/cm3: 4.74
M_tot, μB per formula unit: 1.0
VASP energy, eV/atom: -2.8854
Energy relative to the elements, uncorrected, meV per atom: -1223

Cell and atoms, written as CIF:
```
data_Cs3BiF
_space_group_name_H-M_alt 'P m -3 m'
_space_group_IT_number 221
_space_group_name_Hall '-P 4 2 3'
_cell_length_a 6.032
_cell_length_b 6.032
_cell_length_c 6.032
_cell_angle_alpha 90.00
_cell_angle_beta 90.00
_cell_angle_gamma 90.00
loop_
_atom_site_label
_atom_site_type_symbol
_atom_site_fract_x
_atom_site_fract_y
_atom_site_fract_z
Cs1 Cs 0.000 0.000 0.500
Bi1 Bi 0.500 0.500 0.500
F1 F 0.000 0.000 0.000
```

---

(4)
First-principles (PBE) data for crystalline Cs3BiF at its relaxed geometry, as listed in Alexandria.

Mass density, g/cm3: 4.55
M_tot, μB per formula unit: 0.0
VASP energy, eV/atom: -2.8947
Energy relative to the elements, uncorrected, meV per atom: -1232

Cell and atoms, written as CIF:
```
data_Cs3BiF
_space_group_name_H-M_alt 'P 1 21/c 1'
_space_group_IT_number 14
_cell_length_a 10.505
_cell_length_b 7.611
_cell_length_c 13.379
_cell_angle_alpha 90.00
_cell_angle_beta 121.16
_cell_angle_gamma 90.00
loop_
_space_group_symop_operation_xyz
'x,y,z'
'-x,-y,-z'
'-x,y+1/2,-z+1/2'
'x,-y+1/2,z+1/2'
loop_
_atom_site_label
_atom_site_type_symbol
_atom_site_fract_x
_atom_site_fract_y
_atom_site_fract_z
Cs1 Cs 0.105 0.050 0.398
Cs2 Cs 0.222 0.555 0.559
Cs3 Cs 0.345 0.134 0.782
Bi1 Bi 0.454 0.650 0.906
F1 F 0.053 0.238 0.567
```

---

(5)
First-principles (PBE) data for crystalline Cs12BiF6 at its relaxed geometry, as listed in Alexandria.

Mass density, g/cm3: 3.18
M_tot, μB per formula unit: 0.8
VASP energy, eV/atom: -2.9637
Energy relative to the elements, uncorrected, meV per atom: -1629

Cell and atoms, written as CIF:
```
data_Cs12BiF6
_space_group_name_H-M_alt 'R -3'
_space_group_IT_number 148
_space_group_name_Hall '-R 3'
_cell_length_a 17.2515
_cell_length_b 17.2515
_cell_length_c 11.6441
_cell_angle_alpha 90.00
_cell_angle_beta 90.00
_cell_angle_gamma 120.00
loop_
_atom_site_label
_atom_site_type_symbol
_atom_site_fract_x
_atom_site_fract_y
_atom_site_fract_z
Cs1 Cs 0.0132 0.7730 0.4136
Cs2 Cs 0.0200 0.1620 0.1896
Bi1 Bi 0.0000 0.0000 0.5000
F1 F 0.0231 0.5419 0.8646
```

---

What did the fifth record say?
First-principles (PBE) data for crystalline Cs12BiF6 at its relaxed geometry, as listed in Alexandria.

Mass density, g/cm3: 3.18
M_tot, μB per formula unit: 0.8
VASP energy, eV/atom: -2.9637
Energy relative to the elements, uncorrected, meV per atom: -1629

Cell and atoms, written as CIF:
```
data_Cs12BiF6
_space_group_name_H-M_alt 'R -3'
_space_group_IT_number 148
_space_group_name_Hall '-R 3'
_cell_length_a 17.2515
_cell_length_b 17.2515
_cell_length_c 11.6441
_cell_angle_alpha 90.00
_cell_angle_beta 90.00
_cell_angle_gamma 120.00
loop_
_atom_site_label
_atom_site_type_symbol
_atom_site_fract_x
_atom_site_fract_y
_atom_site_fract_z
Cs1 Cs 0.0132 0.7730 0.4136
Cs2 Cs 0.0200 0.1620 0.1896
Bi1 Bi 0.0000 0.0000 0.5000
F1 F 0.0231 0.5419 0.8646
```

---

> Look up the energy relative to the elements, uncorrected of the first one.

-1994 meV per atom

---

> Number 1 is which compound?

CsBi2F11